[1]
DFT (GGA-PBE) results for a geometry-optimized P2PbSe structure.

Summary:
Crystal system: trigonal
V, A^3/atom: 21.859
E_form (uncorrected), kcal/mol of atoms: 7.55
Distance to the lowest polymorph of the same formula, eV/atom: 0.346

Cell: 3.9379 3.9379 19.5326 Å, 90.00 90.00 120.00°
Space group R-3m (No. 166, hexagonal axes)
Asymmetric unit:
1 P 0.0000 0.0000 0.2379 [6 per cell]
2 Pb 0.0000 0.0000 0.0000 [3 per cell]
3 Se 0.0000 0.0000 0.5000 [3 per cell]

[2]
DFT (GGA-PBE) results for a geometry-optimized AcMgNiRh structure.

Summary:
Crystal system: cubic
Formation energy from the elements, eV/atom: -0.2095
V, A^3/atom: 20.726

Cell: 6.922 6.922 6.922 Å, 90.00 90.00 90.00°
Space group F-43m (No. 216)
Asymmetric unit:
1 Ac 0.000 0.000 0.000 [4 per cell]
2 Mg 0.000 0.000 0.500 [4 per cell]
3 Ni 0.250 0.250 0.250 [4 per cell]
4 Rh 0.250 0.250 0.750 [4 per cell]

[3]
DFT (GGA-PBE) results for a geometry-optimized Er3Si4Pd structure.

Summary:
Crystal system: orthorhombic
V, A^3/atom: 21.564
E_form (uncorrected), kcal/mol of atoms: -14.80

Cell: 4.204 5.654 14.515 Å, 90.00 90.00 90.00°
Space group Immm (No. 71)
Asymmetric unit:
1 Er 0.000 0.000 0.000 [2 per cell]
2 Er 0.000 0.500 0.194 [4 per cell]
3 Si 0.000 0.293 0.378 [8 per cell]
4 Pd 0.000 0.000 0.500 [2 per cell]

| no. | theoretical density (g/cm³) |
| --- | --- |
| 1 | 6.6 |
| 2 | 8.3 |
| 3 | 6.9 |